A plane-wave DFT calculation with GGA-PBE was carried out for a relaxed Pr5Nd2Sc2 crystal.

Unit cell a=3.505 b=11.957 c=10.248 alpha=45.35 beta=80.15 gamma=81.57
Element x y z (fractional)
Pr 0.337 0.990 0.336
Pr 0.663 0.010 0.664
Pr 0.219 0.353 0.210
Sc 0.400 0.345 0.856
Nd 0.055 0.340 0.550
Sc 0.600 0.655 0.144
Pr 0.000 0.000 0.000
Nd 0.945 0.660 0.450
Pr 0.781 0.647 0.790

Properties
V = 33.4 Å³ per atom
total DFT energy (no corrections) = -4.9959 eV per atom
energy of formation from the pure elements = 126 meV/atom
DOS at the Fermi energy = 14.2 states/eV/f.u.